No. 1
## CePr8Ho4 (PBE-GGA)

Data for a relaxed CePr8Ho4 crystal.

a b c (Å): 10.234 10.234 10.234
angles (deg): 42.64 42.64 42.64
Element x y z (fractional)
Ce: 0.000 0.000 0.000
Pr: 0.245 0.245 0.704
Pr: 0.245 0.704 0.245
Pr: 0.279 0.279 0.279
Pr: 0.296 0.755 0.755
Pr: 0.704 0.245 0.245
Pr: 0.721 0.721 0.721
Pr: 0.755 0.296 0.755
Pr: 0.755 0.755 0.296
Ho: 0.000 0.000 0.500
Ho: 0.000 0.500 0.000
Ho: 0.500 0.000 0.000
Ho: 0.500 0.500 0.500

Properties
The formation energy is 0.149 eV/atom. For the size of the total moment, the calculation gives 0.00 Bohr magnetons per cell. Its theoretical density is 7184 kg/m3.



No. 2
## MnSb3Pd12 (PBE-GGA)

Data for a relaxed MnSb3Pd12 crystal.

a b c (Å): 4.026 4.026 16.065
angles (deg): 90.00 90.00 90.00
Element x y z (fractional)
Mn: 0.000 0.000 0.000
Sb: 0.000 0.000 0.239
Sb: 0.000 0.000 0.500
Sb: 0.000 0.000 0.761
Pd: 0.000 0.500 0.121
Pd: 0.000 0.500 0.374
Pd: 0.000 0.500 0.626
Pd: 0.000 0.500 0.879
Pd: 0.500 0.000 0.121
Pd: 0.500 0.000 0.374
Pd: 0.500 0.000 0.626
Pd: 0.500 0.000 0.879
Pd: 0.500 0.500 0.000
Pd: 0.500 0.500 0.251
Pd: 0.500 0.500 0.500
Pd: 0.500 0.500 0.749

Properties
For the size of the total moment, the calculation gives 4.93 Bohr magnetons per cell. Its energy relative to the elements, uncorrected is -0.35 eV/atom. Its theoretical density is 10822 kg/m3.